VASP calculation (PBE) on a relaxed BaNaHg10 crystal.

Computed properties:
The density comes out at 10.155 g cm⁻³. The magnetic moment comes out at 0.00 μB per formula unit. The raw total energy is -0.686 eV per atom. For the density of states at the Fermi level, the calculation gives 0.4198 states/eV/atom. The space group is No. 47.

Cell: 5.530 6.032 10.620 Å, 90.00 90.00 90.00°
Sites, in units of the cell vectors:
Na  0.000  0.000  0.000
Hg  0.500  0.747  0.745
Hg  0.500  0.000  0.500
Hg  0.500  0.500  0.000
Hg  0.000  0.500  0.154
Hg  0.000  0.000  0.315
Hg  0.500  0.253  0.255
Hg  0.500  0.747  0.255
Ba  0.000  0.500  0.500
Hg  0.000  0.500  0.846
Hg  0.500  0.253  0.745
Hg  0.000  0.000  0.685

=====

VASP calculation (PBE) on a relaxed Ba5Na4Hg4 crystal.

Computed properties:
The density comes out at 5.183 g cm⁻³. The magnetic moment comes out at 0.00 μB per formula unit. The raw total energy is -1.542 eV per atom. For the density of states at the Fermi level, the calculation gives 0.9073 states/eV/atom. The space group is No. 87.

Cell: 5.028 10.347 10.347 Å, 86.62 75.94 75.94°
Sites, in units of the cell vectors:
Hg  0.752  0.306  0.189
Ba  0.707  0.923  0.663
Hg  0.248  0.694  0.811
Na  0.103  0.476  0.318
Ba  0.370  0.337  0.923
Na  0.579  0.318  0.524
Na  0.421  0.682  0.476
Na  0.897  0.524  0.682
Ba  0.630  0.663  0.077
Hg  0.941  0.811  0.306
Ba  0.293  0.077  0.337
Ba  0.000  0.000  0.000
Hg  0.059  0.189  0.694

=====

VASP calculation (PBE) on a relaxed BaNa4Hg5 crystal.

Computed properties:
The density comes out at 7.252 g cm⁻³. The magnetic moment comes out at 0.00 μB per formula unit. The raw total energy is -1.157 eV per atom. For the density of states at the Fermi level, the calculation gives 0.5606 states/eV/atom. The space group is No. 123.

Cell: 3.953 3.953 18.052 Å, 90.00 90.00 90.00°
Sites, in units of the cell vectors:
Ba  0.000  0.000  0.000
Hg  0.500  0.500  0.689
Hg  0.500  0.500  0.877
Na  0.000  0.000  0.784
Na  0.000  0.000  0.216
Na  0.000  0.000  0.406
Hg  0.500  0.500  0.311
Na  0.000  0.000  0.594
Hg  0.500  0.500  0.123
Hg  0.500  0.500  0.500

=====

VASP calculation (PBE) on a relaxed Ba3Na2Hg9 crystal.

Computed properties:
The density comes out at 8.763 g cm⁻³. The magnetic moment comes out at 0.00 μB per formula unit. The raw total energy is -1.191 eV per atom. For the density of states at the Fermi level, the calculation gives 0.5395 states/eV/atom. The space group is No. 71.

Cell: 5.026 10.836 9.883 Å, 123.25 104.73 90.00°
Sites, in units of the cell vectors:
Hg  0.864  0.155  0.727
Hg  0.136  0.845  0.273
Hg  0.000  0.500  0.000
Hg  0.657  0.015  0.315
Hg  0.343  0.985  0.685
Ba  0.713  0.713  0.425
Hg  0.343  0.700  0.685
Hg  0.657  0.300  0.315
Hg  0.864  0.572  0.727
Na  0.500  0.316  0.000
Hg  0.136  0.428  0.273
Ba  0.287  0.287  0.575
Ba  0.000  0.000  0.000
Na  0.500  0.684  0.000

=====

VASP calculation (PBE) on a relaxed Ba3Na7Hg4 crystal.

Computed properties:
The density comes out at 4.604 g cm⁻³. The magnetic moment comes out at 0.00 μB per formula unit. The raw total energy is -1.406 eV per atom. For the density of states at the Fermi level, the calculation gives 0.5948 states/eV/atom. The space group is No. 12.

Cell: 4.918 9.951 11.038 Å, 73.91 77.13 75.69°
Sites, in units of the cell vectors:
Na  0.000  0.000  0.000
Hg  0.107  0.097  0.688
Ba  0.305  0.177  0.213
Ba  0.695  0.823  0.787
Na  0.519  0.762  0.200
Na  0.171  0.590  0.068
Hg  0.660  0.428  0.252
Na  0.829  0.410  0.932
Na  0.677  0.153  0.493
Na  0.323  0.847  0.507
Hg  0.893  0.903  0.312
Na  0.481  0.238  0.800
Hg  0.340  0.572  0.748
Ba  0.000  0.500  0.500

=====

VASP calculation (PBE) on a relaxed Ba2Na5Hg crystal.

Computed properties:
The density comes out at 2.776 g cm⁻³. The magnetic moment comes out at 0.00 μB per formula unit. The raw total energy is -1.388 eV per atom. For the density of states at the Fermi level, the calculation gives 0.9117 states/eV/atom. The space group is No. 107.

Cell: 6.967 6.967 8.786 Å, 66.62 66.62 89.97°
Sites, in units of the cell vectors:
Na  0.209  0.209  0.062
Na  0.324  0.324  0.352
Na  0.729  0.729  0.061
Na  0.729  0.210  0.061
Na  0.209  0.729  0.061
Ba  0.703  0.203  0.594
Ba  0.203  0.703  0.594
Hg  0.116  0.116  0.768

=====

VASP calculation (PBE) on a relaxed Ba4Na2Hg crystal.

Computed properties:
The density comes out at 3.839 g cm⁻³. The magnetic moment comes out at 0.00 μB per formula unit. The raw total energy is -1.635 eV per atom. For the relative energy among the computed polymorphs, the calculation gives 0.000 eV/atom. For the density of states at the Fermi level, the calculation gives 1.1381 states/eV/atom. The space group is No. 139.

Cell: 5.951 5.951 10.592 Å, 106.32 106.32 90.00°
Sites, in units of the cell vectors:
Na  0.251  0.251  0.501
Hg  0.000  0.000  0.000
Ba  0.102  0.602  0.204
Ba  0.398  0.898  0.796
Ba  0.898  0.398  0.796
Na  0.749  0.749  0.499
Ba  0.602  0.102  0.204

=====

VASP calculation (PBE) on a relaxed BaNa6Hg12 crystal.

Computed properties:
The density comes out at 8.660 g cm⁻³. The magnetic moment comes out at 0.00 μB per formula unit. The raw total energy is -0.970 eV per atom. For the density of states at the Fermi level, the calculation gives 0.3363 states/eV/atom. The space group is No. 148.

Cell: 8.464 8.839 8.839 Å, 69.69 71.38 108.62°
Sites, in units of the cell vectors:
Hg  0.663  0.883  0.843
Na  0.344  0.787  0.704
Hg  0.220  0.726  0.117
Hg  0.337  0.117  0.157
Hg  0.495  0.157  0.726
Hg  0.262  0.446  0.615
Ba  0.000  0.000  0.000
Hg  0.877  0.615  0.939
Na  0.656  0.213  0.296
Na  0.048  0.704  0.509
Na  0.443  0.491  0.213
Hg  0.184  0.061  0.554
Hg  0.738  0.554  0.385
Hg  0.780  0.274  0.883
Hg  0.123  0.385  0.061
Na  0.952  0.296  0.491
Na  0.557  0.509  0.787
Hg  0.505  0.843  0.274
Hg  0.816  0.939  0.446